A crystal of LiYCu2 relaxed with PBEsol, computed with SCAN.

Output
The density of states at the Fermi level comes out at 1.97 states/eV/f.u. The total magnetization is 0.001 Bohr magnetons per cell. The value obtained for the energy of formation from the pure elements is -0.151 eV/atom.

abc: 7.253 4.200 5.084
angles: 90.00 118.45 90.00
Space group C2/m (No. 12)
Symmetry-distinct sites (fractional):
Li 0.000 0.000 0.000 (multiplicity 2)
Y 0.000 0.500 0.500 (multiplicity 2)
Cu 0.207 0.500 0.121 (multiplicity 4)